No. 1
Material: NdErTm3
Method: DFT, PBE
State: relaxed

Calculated values
For the density of states at the Fermi level, the calculation gives 13.92 states/eV per cell. The calculation puts the polymorph energy (0 for the lowest one) at 0.273 eV per atom. The value obtained for the raw total energy is -4.2524 eV per atom. The calculation puts the total moment at 0.00 Bohr magnetons per cell.

Lattice parameters (Å, degrees): 3.5976 8.4924 11.3896 90.00 90.00 101.96
Sites, in units of the cell vectors:
Nd1 0.0874 0.4919 0.2500
Nd2 0.9126 0.5081 0.7500
Er1 0.3527 0.1456 0.2500
Er2 0.6473 0.8544 0.7500
Tm1 0.8386 0.1828 0.9999
Tm2 0.1614 0.8172 0.0001
Tm3 0.8386 0.1828 0.5001
Tm4 0.1614 0.8172 0.4999
Tm5 0.6987 0.8329 0.2500
Tm6 0.3013 0.1671 0.7500


No. 2
Material: TbNd4Sm3
Method: DFT, PBE
State: relaxed

Calculated values
For the density of states at the Fermi level, the calculation gives 28.29 states/eV per cell. The calculation puts the polymorph energy (0 for the lowest one) at 0.000 eV per atom. The value obtained for the raw total energy is -4.7012 eV per atom. The calculation puts the total moment at 0.00 Bohr magnetons per cell.

Lattice parameters (Å, degrees): 6.3729 7.3675 11.7921 90.00 90.00 90.00
Sites, in units of the cell vectors:
Tb1 0.9804 0.3772 0.0000
Tb2 0.4804 0.6228 0.5000
Nd1 0.9800 0.8744 0.0000
Nd2 0.4819 0.1262 0.0000
Nd3 0.1477 0.1271 0.2488
Nd4 0.6477 0.8729 0.2512
Nd5 0.9819 0.8738 0.5000
Nd6 0.4800 0.1256 0.5000
Nd7 0.6477 0.8729 0.7488
Nd8 0.1477 0.1271 0.7512
Sm1 0.4801 0.6235 0.0000
Sm2 0.1487 0.6236 0.2499
Sm3 0.6487 0.3764 0.2501
Sm4 0.9801 0.3765 0.5000
Sm5 0.6487 0.3764 0.7499
Sm6 0.1487 0.6236 0.7501


No. 3
Material: RbNa2TlHg
Method: DFT, PBE
State: relaxed

Calculated values
For the density of states at the Fermi level, the calculation gives 2.52 states/eV per cell. The calculation puts the polymorph energy (0 for the lowest one) at 0.000 eV per atom. The value obtained for the raw total energy is -1.3171 eV per atom. The calculation puts the total moment at 0.00 Bohr magnetons per cell.

Lattice parameters (Å, degrees): 5.9955 5.9955 5.7944 90.00 90.00 90.00
Sites, in units of the cell vectors:
Na1 0.0000 0.5000 0.0000
Na2 0.5000 0.0000 0.0000
Tl1 0.0000 0.0000 0.5000
Hg1 0.0000 0.0000 0.0000
Rb1 0.5000 0.5000 0.5000


No. 4
Material: CePm7Tm4
Method: DFT, PBE
State: relaxed

Calculated values
For the density of states at the Fermi level, the calculation gives 21.63 states/eV per cell. The value obtained for the raw total energy is -4.5395 eV per atom. The calculation puts the total moment at 1.46 Bohr magnetons per cell.

Lattice parameters (Å, degrees): 9.6071 9.6071 9.3766 54.86 54.86 35.52
Site moments in Bohr magnetons follow the coordinates.
Sites, in units of the cell vectors:
Ce1 0.0000 0.0000 0.0000  0.90
Pm1 0.1735 0.1735 0.0375  0.03
Pm2 0.8265 0.8265 0.9625  0.03
Pm3 0.9251 0.9251 0.4544  0.02
Pm4 0.0749 0.0749 0.5456  0.02
Pm5 0.7136 0.7136 0.4458  0.00
Pm6 0.5000 0.5000 0.0000  0.17
Pm7 0.2864 0.2864 0.5542  0.00
Tm1 0.4205 0.4205 0.7232  -0.01
Tm2 0.5795 0.5795 0.2768  -0.01
Tm3 0.2902 0.2902 0.1909  -0.01
Tm4 0.7098 0.7098 0.8091  -0.01


No. 5
Material: Ba2SrCdO4
Method: DFT, PBE
State: relaxed

Calculated values
For the density of states at the Fermi level, the calculation gives 0.00 states/eV per cell. The value obtained for the raw total energy is -5.3918 eV per atom. The calculation puts the total moment at 0.00 Bohr magnetons per cell. The calculation puts the uncorrected formation energy at -16.9 eV per formula unit.

Lattice parameters (Å, degrees): 3.7508 6.5425 6.5138 110.48 90.00 90.00
Sites, in units of the cell vectors:
Ba1 0.5000 0.0000 0.5000
Ba2 0.0000 0.5000 0.5000
Sr1 0.5000 0.5000 0.0000
Cd1 0.0000 0.0000 0.0000
O1 0.5000 0.2353 0.2239
O2 0.5000 0.7647 0.7761
O3 0.0000 0.2620 0.7625
O4 0.0000 0.7380 0.2375


No. 6
Material: NpTaTiO6
Method: DFT, PBE
State: relaxed

Calculated values
For the density of states at the Fermi level, the calculation gives 18.74 states/eV per cell. The value obtained for the raw total energy is -9.8629 eV per atom. The calculation puts the total moment at 8.00 Bohr magnetons per cell. The calculation puts the uncorrected formation energy at -26.3 eV per formula unit.

Lattice parameters (Å, degrees): 5.2248 5.2248 9.9529 90.00 90.00 120.00
Site moments in Bohr magnetons follow the coordinates.
Sites, in units of the cell vectors:
Np1 0.0000 0.0000 0.0000  3.57
Np2 0.0000 0.0000 0.5000  3.57
Ta1 0.6667 0.3333 0.2500  0.10
Ta2 0.3333 0.6667 0.7500  0.10
Ti1 0.3333 0.6667 0.2500  0.35
Ti2 0.6667 0.3333 0.7500  0.35
O1 0.6421 0.6424 0.1399  -0.03
O2 0.0003 0.3579 0.1399  -0.03
O3 0.3579 0.0003 0.6399  -0.03
O4 0.9997 0.6421 0.8601  -0.03
O5 0.3576 0.3579 0.3601  -0.03
O6 0.0003 0.6424 0.3601  -0.03
O7 0.6424 0.0003 0.8601  -0.03
O8 0.6421 0.9997 0.3601  -0.03
O9 0.9997 0.3576 0.6399  -0.03
O10 0.3576 0.9997 0.1399  -0.03
O11 0.6424 0.6421 0.6399  -0.03
O12 0.3579 0.3576 0.8601  -0.03


No. 7
Material: TiPt3
Method: DFT, PBE
State: relaxed

Calculated values
For the density of states at the Fermi level, the calculation gives 2.80 states/eV per cell. The value obtained for the raw total energy is -7.3627 eV per atom. The calculation puts the total moment at 0.00 Bohr magnetons per cell.

Lattice parameters (Å, degrees): 4.5189 5.6092 5.6092 120.00 90.00 90.00
Sites, in units of the cell vectors:
Ti1 0.7500 0.3333 0.6667
Ti2 0.2500 0.6667 0.3333
Pt1 0.7500 0.3348 0.1674
Pt2 0.2500 0.6652 0.8326
Pt3 0.7500 0.8326 0.6652
Pt4 0.2500 0.1674 0.3348
Pt5 0.7500 0.8326 0.1674
Pt6 0.2500 0.1674 0.8326


No. 8
Material: Rb2UO4
Method: DFT, PBE
State: relaxed

Calculated values
The calculation puts the polymorph energy (0 for the lowest one) at 0.183 eV per atom. The value obtained for the raw total energy is -7.1861 eV per atom. The calculation puts the total moment at 0.00 Bohr magnetons per cell. The calculation puts the uncorrected formation energy at -17.2 eV per formula unit.

Lattice parameters (Å, degrees): 7.2629 5.9751 7.2369 90.00 114.96 90.00
Sites, in units of the cell vectors:
Rb1 0.6584 0.7500 0.0193
Rb2 0.3416 0.2500 0.9807
Rb3 0.9836 0.2500 0.3413
Rb4 0.0164 0.7500 0.6587
U1 0.3692 0.7500 0.3699
U2 0.6308 0.2500 0.6301
O1 0.6034 0.5001 0.3961
O2 0.2914 0.7500 0.0729
O3 0.7086 0.2500 0.9271
O4 0.6034 0.9999 0.3961
O5 0.9268 0.2500 0.7075
O6 0.3966 0.0001 0.6039
O7 0.3966 0.4999 0.6039
O8 0.0732 0.7500 0.2925


No. 9
Material: Tb2Ce2Ho7
Method: DFT, PBE
State: relaxed

Calculated values
For the density of states at the Fermi level, the calculation gives 20.68 states/eV per cell. The calculation puts the polymorph energy (0 for the lowest one) at 0.035 eV per atom. The value obtained for the raw total energy is -4.5951 eV per atom. The calculation puts the total moment at 0.53 Bohr magnetons per cell.

Lattice parameters (Å, degrees): 6.9235 7.3577 7.3577 97.09 76.73 76.73
Site moments in Bohr magnetons follow the coordinates.
Sites, in units of the cell vectors:
Tb1 0.5000 0.1565 0.8435  0.00
Tb2 0.5000 0.8435 0.1565  0.00
Ce1 0.9384 0.3874 0.3874  0.18
Ce2 0.0616 0.6126 0.6126  0.18
Ho1 0.1913 0.0779 0.5730  0.01
Ho2 0.8087 0.4270 0.9221  0.01
Ho3 0.8087 0.9221 0.4270  0.01
Ho4 0.1913 0.5730 0.0779  0.01
Ho5 0.0000 0.0000 0.0000  0.00
Ho6 0.5085 0.6839 0.6839  0.02
Ho7 0.4915 0.3161 0.3161  0.02


No. 10
Material: ZrPAu4
Method: DFT, PBE
State: relaxed

Calculated values
For the density of states at the Fermi level, the calculation gives 3.62 states/eV per cell. The value obtained for the raw total energy is -4.4101 eV per atom. The calculation puts the total moment at 0.00 Bohr magnetons per cell.

Lattice parameters (Å, degrees): 5.4789 5.4789 5.4789 60.00 60.00 60.00
Sites, in units of the cell vectors:
Zr1 0.0000 0.0000 0.0000
P1 0.7500 0.7500 0.7500
Au1 0.8752 0.3749 0.3749
Au2 0.3749 0.3749 0.8752
Au3 0.3749 0.8752 0.3749
Au4 0.3749 0.3749 0.3749


No. 11
Material: Cs2ScCrBi
Method: DFT, PBE
State: relaxed

Calculated values
For the density of states at the Fermi level, the calculation gives 4.31 states/eV per cell. The value obtained for the raw total energy is -3.4016 eV per atom. The calculation puts the total moment at 4.31 Bohr magnetons per cell.

Lattice parameters (Å, degrees): 6.1074 5.4218 6.1074 90.00 90.00 90.00
Site moments in Bohr magnetons follow the coordinates.
Sites, in units of the cell vectors:
Cs1 0.0000 0.0000 0.5000  0.04
Cs2 0.5000 0.0000 0.0000  0.06
Cr1 0.0000 0.0000 0.0000  3.65
Sc1 0.0000 0.5000 0.0000  -0.42
Bi1 0.5000 0.5000 0.5000  0.31


No. 12
Material: BeZnRh2
Method: DFT, PBE
State: relaxed

Calculated values
For the density of states at the Fermi level, the calculation gives 1.58 states/eV per cell. The calculation puts the polymorph energy (0 for the lowest one) at 0.108 eV per atom. The value obtained for the raw total energy is -5.2813 eV per atom. The calculation puts the total moment at 0.00 Bohr magnetons per cell.

Lattice parameters (Å, degrees): 3.5756 2.7750 5.3909 72.17 90.00 90.00
Sites, in units of the cell vectors:
Be1 0.5000 0.7500 0.7500
Zn1 0.5000 0.2500 0.2500
Rh1 0.0000 0.8916 0.9776
Rh2 0.0000 0.6084 0.5224


No. 13
Material: AlSnI2Br
Method: DFT, PBE
State: relaxed

Calculated values
For the density of states at the Fermi level, the calculation gives 3.52 states/eV per cell. The value obtained for the raw total energy is -2.6351 eV per atom. The calculation puts the total moment at 0.58 Bohr magnetons per cell. The calculation puts the uncorrected formation energy at -0.7 eV per formula unit.

Lattice parameters (Å, degrees): 5.7202 5.1026 5.7202 90.00 90.00 90.00
Site moments in Bohr magnetons follow the coordinates.
Sites, in units of the cell vectors:
I1 0.0000 0.0000 0.5000  0.00
I2 0.5000 0.0000 0.0000  -0.01
Sn1 0.5000 0.5000 0.5000  0.26
Br1 0.0000 0.5000 0.0000  0.00
Al1 0.0000 0.0000 0.0000  -0.01